(1)
Entry from the Alexandria database: a relaxed LiSbTe crystal (PBE-GGA).

Summary:
* E above lowest polymorph: 28 meV/atom
* magnetic moment: 0.00 μB/f.u.
* E: -3.4948 eV/atom
* ΔE_f (raw): -0.4355 eV per atom

a = 3.1875 Å, b = 4.4262 Å, c = 11.7079 Å
α = 94.30°, β = 97.74°, γ = 90.08°
Space group P-1 (No. 2)
Inequivalent atoms, fractional coordinates:
Li1 0.2102 0.2454 0.4154 [2 per cell]
Sb1 0.4588 0.7277 0.9157 [2 per cell]
Te1 0.3290 0.2748 0.6634 [2 per cell]

(2)
Entry from the Alexandria database: a relaxed UTiRu2 crystal (PBE-GGA).

Summary:
* magnetic moment: 0.00 μB/f.u.
* E: -9.8478 eV/atom
* energy of formation from the pure elements: -0.41 eV/atom

a = 3.0390 Å, b = 3.0390 Å, c = 7.1006 Å
α = 90.00°, β = 90.00°, γ = 90.00°
Space group P4/mmm (No. 123)
Inequivalent atoms, fractional coordinates:
U1 0.0000 0.0000 0.0000 [1 per cell]
Ti1 0.0000 0.0000 0.5000 [1 per cell]
Ru1 0.5000 0.5000 0.2823 [2 per cell]

(3)
Entry from the Alexandria database: a relaxed Nd7Er2Cd2 crystal (PBE-GGA).

Summary:
* magnetic moment: 0.00 μB/f.u.
* E: -4.0813 eV/atom
* energy of formation from the pure elements: -0.05 eV/atom

a = 8.8854 Å, b = 9.8059 Å, c = 8.6408 Å
α = 90.00°, β = 109.72°, γ = 90.00°
Space group C2/m (No. 12)
Inequivalent atoms, fractional coordinates:
Nd1 0.0000 0.0000 0.0000 [2 per cell]
Nd2 0.1332 0.0000 0.4163 [4 per cell]
Nd3 0.1981 0.3236 0.1737 [8 per cell]
Er1 0.0000 0.3241 0.5000 [4 per cell]
Cd1 0.1198 0.5000 0.8206 [4 per cell]

(4)
Entry from the Alexandria database: a relaxed NaRuRh4S8 crystal (PBE-GGA).

Summary:
* magnetic moment: 0.00 μB/f.u.
* E: -5.6246 eV/atom
* ΔE_f (raw): -0.4089 eV per atom

a = 7.3472 Å, b = 7.3472 Å, c = 16.1914 Å
α = 90.00°, β = 90.00°, γ = 120.00°
Space group R3m (No. 160, hexagonal axes)
Inequivalent atoms, fractional coordinates:
Na1 0.0000 0.0000 0.0000 [3 per cell]
Ru1 0.0000 0.0000 0.4279 [3 per cell]
Rh1 0.0000 0.0000 0.7932 [3 per cell]
Rh2 0.0038 0.5019 0.9091 [9 per cell]
S1 0.0000 0.0000 0.1695 [3 per cell]
S2 0.0000 0.0000 0.6503 [3 per cell]
S3 0.0074 0.5037 0.1688 [9 per cell]
S4 0.1994 0.3987 0.9938 [9 per cell]

(5)
Entry from the Alexandria database: a relaxed Ce2PaOsN5 crystal (PBE-GGA).

Summary:
* magnetic moment: 0.00 μB/f.u.
* E: -9.1184 eV/atom
* ΔE_f (raw): -0.8717 eV per atom

a = 6.4741 Å, b = 6.4741 Å, c = 5.8164 Å
α = 90.00°, β = 90.00°, γ = 90.00°
Space group P4/mbm (No. 127)
Inequivalent atoms, fractional coordinates:
Ce1 0.1664 0.3336 0.0000 [4 per cell]
Pa1 0.0000 0.0000 0.5000 [2 per cell]
Os1 0.0000 0.5000 0.5000 [2 per cell]
N1 0.0000 0.0000 0.0000 [2 per cell]
N2 0.1596 0.6596 0.2736 [8 per cell]

(6)
Entry from the Alexandria database: a relaxed HfFe3Si3 crystal (PBE-GGA).

Summary:
* magnetic moment: 3.92 μB/f.u.
* E: -6.9515 eV/atom
* ΔE_f (raw): 0.4214 eV per atom

a = 6.1360 Å, b = 6.1360 Å, c = 6.1360 Å
α = 90.00°, β = 90.00°, γ = 90.00°
Space group Pm-3n (No. 223)
Inequivalent atoms, fractional coordinates:
Hf1 0.0000 0.0000 0.0000 [2 per cell]
Fe1 0.0000 0.2500 0.5000 [6 per cell]
Si1 0.0000 0.5000 0.2500 [6 per cell]

(7)
Entry from the Alexandria database: a relaxed InTeOs2 crystal (PBE-GGA).

Summary:
* E above lowest polymorph: 355 meV/atom
* magnetic moment: 0.00 μB/f.u.
* E: -6.3338 eV/atom
* ΔE_f (raw): 0.7511 eV per atom

a = 3.1203 Å, b = 3.1203 Å, c = 25.5787 Å
α = 90.00°, β = 90.00°, γ = 120.00°
Space group R-3m (No. 166, hexagonal axes)
Inequivalent atoms, fractional coordinates:
In1 0.0000 0.0000 0.0000 [3 per cell]
Te1 0.0000 0.0000 0.5000 [3 per cell]
Os1 0.0000 0.0000 0.2466 [6 per cell]

(8)
Entry from the Alexandria database: a relaxed Rb2CoSBr6 crystal (PBE-GGA).

Summary:
* magnetic moment: 0.91 μB/f.u.
* E: -2.9798 eV/atom
* ΔE_f (raw): -0.6592 eV per atom

a = 7.7508 Å, b = 7.7508 Å, c = 10.5381 Å
α = 90.00°, β = 90.00°, γ = 90.00°
Space group I4/mmm (No. 139)
Inequivalent atoms, fractional coordinates:
Rb1 0.0000 0.5000 0.2500 [4 per cell]
Co1 0.0000 0.0000 0.0000 [2 per cell]
S1 0.0000 0.0000 0.5000 [2 per cell]
Br1 0.0000 0.0000 0.2643 [4 per cell]
Br2 0.2212 0.2212 0.0000 [8 per cell]

(9)
Entry from the Alexandria database: a relaxed SrPrS crystal (PBE-GGA).

Summary:
* magnetic moment: 0.00 μB/f.u.
* E: -4.7275 eV/atom
* ΔE_f (raw): -1.1979 eV per atom

a = 5.7005 Å, b = 6.0002 Å, c = 11.8497 Å
α = 90.00°, β = 90.00°, γ = 90.00°
Space group Imma (No. 74)
Inequivalent atoms, fractional coordinates:
Sr1 0.0000 0.2500 0.1219 [4 per cell]
Pr1 0.0000 0.2500 0.6302 [4 per cell]
S1 0.0000 0.2500 0.8732 [4 per cell]

(10)
Entry from the Alexandria database: a relaxed LaPuCuIr crystal (PBE-GGA).

Summary:
* magnetic moment: 5.69 μB/f.u.
* E: -8.3474 eV/atom
* energy of formation from the pure elements: -0.29 eV/atom

a = 7.0682 Å, b = 7.0682 Å, c = 7.0682 Å
α = 90.00°, β = 90.00°, γ = 90.00°
Space group F-43m (No. 216)
Inequivalent atoms, fractional coordinates:
La1 0.0000 0.0000 0.0000 [4 per cell]
Pu1 0.0000 0.0000 0.5000 [4 per cell]
Cu1 0.2500 0.2500 0.7500 [4 per cell]
Ir1 0.2500 0.2500 0.2500 [4 per cell]

(11)
Entry from the Alexandria database: a relaxed ScMn2Si crystal (PBE-GGA).

Summary:
* magnetic moment: 1.16 μB/f.u.
* E: -7.7369 eV/atom
* ΔE_f (raw): -0.2134 eV per atom

a = 2.8562 Å, b = 2.8562 Å, c = 6.7313 Å
α = 90.00°, β = 90.00°, γ = 90.00°
Space group P4mm (No. 99)
Inequivalent atoms, fractional coordinates:
Sc1 0.0000 0.0000 0.0000 [1 per cell]
Mn1 0.0000 0.0000 0.5033 [1 per cell]
Mn2 0.5000 0.5000 0.7037 [1 per cell]
Si1 0.5000 0.5000 0.3054 [1 per cell]

(12)
Entry from the Alexandria database: a relaxed Re2SnBrF crystal (PBE-GGA).

Summary:
* magnetic moment: 3.37 μB/f.u.
* E: -5.2222 eV/atom
* ΔE_f (raw): 1.2665 eV per atom

a = 4.2027 Å, b = 4.2027 Å, c = 5.6086 Å
α = 90.00°, β = 90.00°, γ = 90.00°
Space group P4/mmm (No. 123)
Inequivalent atoms, fractional coordinates:
Re1 0.0000 0.5000 0.0000 [2 per cell]
Sn1 0.0000 0.0000 0.5000 [1 per cell]
Br1 0.5000 0.5000 0.5000 [1 per cell]
F1 0.5000 0.5000 0.0000 [1 per cell]

Q: Look up the magnetic moment of the eleventh one.
A: 1.16 μB/f.u.

Q: Look up the E of the fifth one.
A: -9.1184 eV/atom